No. 1
Crystalline Pm2Ho8Tm3 at its relaxed geometry, computed with PBE-GGA.

Values from the calculation:
- VASP energy: -4.509 eV per atom

a b c (Å): 3.537 12.147 19.274
angles (deg): 90.00 90.01 90.00
Positions (direct):
Pm: 0.002 0.168 0.130
Pm: 0.002 0.332 0.630
Pm: 0.998 0.668 0.370
Pm: 0.998 0.832 0.870
Ho: 0.000 0.016 0.583
Ho: 0.000 0.484 0.083
Ho: 0.000 0.516 0.917
Ho: 0.000 0.984 0.417
Ho: 0.001 0.122 0.863
Ho: 0.001 0.378 0.363
Ho: 0.499 0.650 0.201
Ho: 0.499 0.710 0.019
Ho: 0.499 0.790 0.519
Ho: 0.499 0.850 0.701
Ho: 0.501 0.150 0.299
Ho: 0.501 0.210 0.481
Ho: 0.501 0.290 0.981
Ho: 0.501 0.350 0.799
Ho: 0.999 0.622 0.637
Ho: 0.999 0.878 0.137
Tm: 0.499 0.623 0.788
Tm: 0.499 0.877 0.288
Tm: 0.500 0.000 0.000
Tm: 0.500 0.500 0.500
Tm: 0.501 0.123 0.712
Tm: 0.501 0.377 0.212

No. 2
Crystalline Pm7Ho3Tm2 at its relaxed geometry, computed with PBE-GGA.

Values from the calculation:
- VASP energy: -4.568 eV per atom

a b c (Å): 5.841 3.600 18.916
angles (deg): 90.00 93.81 90.00
Positions (direct):
Pm: 0.000 0.000 0.000
Pm: 0.178 0.500 0.184
Pm: 0.258 0.500 0.535
Pm: 0.325 0.000 0.854
Pm: 0.675 0.000 0.146
Pm: 0.742 0.500 0.465
Pm: 0.822 0.500 0.816
Ho: 0.217 0.000 0.367
Ho: 0.500 0.500 0.000
Ho: 0.783 0.000 0.633
Tm: 0.294 0.500 0.702
Tm: 0.706 0.500 0.298

No. 3
Crystalline Pm7Ho12Tm at its relaxed geometry, computed with PBE-GGA.

Values from the calculation:
- VASP energy: -3.971 eV per atom

a b c (Å): 9.746 9.746 9.746
angles (deg): 109.47 109.47 109.47
Positions (direct):
Pm: 0.000 0.000 0.500
Pm: 0.000 0.500 0.000
Pm: 0.000 0.500 0.500
Pm: 0.500 0.000 0.000
Pm: 0.500 0.000 0.500
Pm: 0.500 0.500 0.000
Pm: 0.500 0.500 0.500
Ho: 0.000 0.246 0.754
Ho: 0.000 0.754 0.246
Ho: 0.246 0.000 0.754
Ho: 0.246 0.246 0.491
Ho: 0.246 0.491 0.246
Ho: 0.246 0.754 0.000
Ho: 0.491 0.246 0.246
Ho: 0.509 0.754 0.754
Ho: 0.754 0.000 0.246
Ho: 0.754 0.246 0.000
Ho: 0.754 0.509 0.754
Ho: 0.754 0.754 0.509
Tm: 0.000 0.000 0.000

No. 4
Crystalline Pm6HoTm12 at its relaxed geometry, computed with PBE-GGA.

Values from the calculation:
- VASP energy: -4.440 eV per atom

a b c (Å): 8.587 8.587 8.587
angles (deg): 79.61 79.61 79.61
Positions (direct):
Pm: 0.267 0.267 0.664
Pm: 0.267 0.664 0.267
Pm: 0.336 0.733 0.733
Pm: 0.664 0.267 0.267
Pm: 0.733 0.336 0.733
Pm: 0.733 0.733 0.336
Ho: 0.500 0.500 0.500
Tm: 0.013 0.013 0.695
Tm: 0.013 0.695 0.013
Tm: 0.015 0.363 0.363
Tm: 0.305 0.987 0.987
Tm: 0.363 0.015 0.363
Tm: 0.363 0.363 0.015
Tm: 0.637 0.637 0.985
Tm: 0.637 0.985 0.637
Tm: 0.695 0.013 0.013
Tm: 0.985 0.637 0.637
Tm: 0.987 0.305 0.987
Tm: 0.987 0.987 0.305

No. 5
Crystalline PmHo2Tm9 at its relaxed geometry, computed with PBE-GGA.

Values from the calculation:
- VASP energy: -4.467 eV per atom

a b c (Å): 11.075 11.075 3.479
angles (deg): 90.00 90.00 120.00
Positions (direct):
Pm: 0.000 0.000 0.000
Ho: 0.333 0.667 0.000
Ho: 0.667 0.333 0.000
Tm: 0.000 0.500 0.000
Tm: 0.178 0.357 0.500
Tm: 0.178 0.822 0.500
Tm: 0.357 0.178 0.500
Tm: 0.500 0.000 0.000
Tm: 0.500 0.500 0.000
Tm: 0.643 0.822 0.500
Tm: 0.822 0.178 0.500
Tm: 0.822 0.643 0.500

No. 6
Crystalline Pm2Ho8Tm3 at its relaxed geometry, computed with PBE-GGA.

Values from the calculation:
- VASP energy: -4.341 eV per atom

a b c (Å): 10.972 10.972 5.507
angles (deg): 90.00 90.00 139.74
Positions (direct):
Pm: 0.241 0.759 0.000
Pm: 0.759 0.241 0.000
Ho: 0.129 0.871 0.500
Ho: 0.181 0.393 0.000
Ho: 0.338 0.662 0.500
Ho: 0.393 0.181 0.000
Ho: 0.607 0.819 0.000
Ho: 0.662 0.338 0.500
Ho: 0.819 0.607 0.000
Ho: 0.871 0.129 0.500
Tm: 0.000 0.000 0.000
Tm: 0.285 0.285 0.500
Tm: 0.715 0.715 0.500

What did we get for energy relative to the lowest polymorph listed for this composition? Answer: 0.0; 18.8; 564.1; 0.0; 19.0; 168.2 meV/atom, in the order shown.
What did we get for E_form? Answer: 0.0707; 0.0925; 0.6618; 0.1251; 0.0458; 0.2389 eV/atom, in the order shown.
What did we get for volume? Answer: 31.85; 33.07; 35.63; 31.87; 30.80; 32.96 A^3/atom, in the order shown.